Model w:
A relaxed Tb3YIn4 crystal. Source: the Alexandria database, functional PBE.

Output
The value obtained for the spin magnetization is 0.34 μB/f.u. As for the density of states at the Fermi level: 0.724 states/eV per atom.

Lattice parameters (Å, degrees): 3.4987 7.1131 10.1292 110.54 99.94 90.00
Site moments in Bohr magnetons follow the coordinates.
Fractional coordinates of all 8 atoms:
Tb: 0.0000 0.5000 0.0000  0.00
Tb: 0.2195 0.2195 0.4390  -0.02
Tb: 0.7805 0.7805 0.5610  -0.02
Y: 0.5000 0.0000 0.0000  0.21
In: 0.3735 0.5856 0.7470  0.00
In: 0.6265 0.4144 0.2530  0.00
In: 0.6265 0.8386 0.2530  0.00
In: 0.3735 0.1614 0.7470  0.00



Model x:
A relaxed Tb3YIn4 crystal. Source: the Alexandria database, functional PBE.

Output
The value obtained for the spin magnetization is 0.00 μB/f.u. As for the density of states at the Fermi level: 0.606 states/eV per atom.

Lattice parameters (Å, degrees): 3.7717 3.7717 15.1054 90.00 90.00 90.00
Fractional coordinates of all 8 atoms:
Y: 0.5000 0.5000 0.0000
Tb: 0.5000 0.5000 0.2497
Tb: 0.5000 0.5000 0.5000
Tb: 0.5000 0.5000 0.7503
In: 0.0000 0.0000 0.8756
In: 0.0000 0.0000 0.1244
In: 0.0000 0.0000 0.3748
In: 0.0000 0.0000 0.6252



On energetic grounds, model x is preferred over the next structure by 161 meV/atom.



Model w:
A relaxed Tb2YIn crystal. Source: the Alexandria database, functional PBE.

Output
The value obtained for the spin magnetization is 0.61 μB/f.u. As for the density of states at the Fermi level: 1.422 states/eV per atom.

Lattice parameters (Å, degrees): 4.8908 4.8484 4.8484 90.00 90.00 90.00
Site moments in Bohr magnetons follow the coordinates.
Fractional coordinates of all 4 atoms:
Y: 0.5000 0.0000 0.0000  -0.13
Tb: 0.0000 0.0000 0.5000  -0.15
Tb: 0.0000 0.5000 0.0000  -0.15
In: 0.5000 0.5000 0.5000  0.01



Model x:
A relaxed Tb2YIn crystal. Source: the Alexandria database, functional PBE.

Output
The value obtained for the spin magnetization is 0.00 μB/f.u. As for the density of states at the Fermi level: 1.221 states/eV per atom.

Lattice parameters (Å, degrees): 3.5939 3.5939 9.2763 90.00 90.00 90.00
Fractional coordinates of all 4 atoms:
Y: 0.5000 0.5000 0.5000
Tb: 0.0000 0.0000 0.7742
Tb: 0.0000 0.0000 0.2258
In: 0.5000 0.5000 0.0000



Model y:
A relaxed Tb2YIn crystal. Source: the Alexandria database, functional PBE.

Output
The value obtained for the spin magnetization is 1.37 μB/f.u. As for the density of states at the Fermi level: 1.444 states/eV per atom.

Lattice parameters (Å, degrees): 5.4664 5.4664 5.4673 60.01 60.01 60.00
Site moments in Bohr magnetons follow the coordinates.
Fractional coordinates of all 4 atoms:
Tb: 0.0001 0.0001 0.9998  0.29
Tb: 0.2500 0.2500 0.2500  0.39
Y: 0.5000 0.5000 0.5001  0.24
In: 0.7500 0.7500 0.7500  0.01



Model z:
A relaxed Tb2YIn crystal. Source: the Alexandria database, functional PBE.

Output
The value obtained for the spin magnetization is 1.20 μB/f.u. As for the density of states at the Fermi level: 1.542 states/eV per atom.

Lattice parameters (Å, degrees): 5.4717 5.4717 5.4717 60.00 60.00 60.00
Site moments in Bohr magnetons follow the coordinates.
Fractional coordinates of all 4 atoms:
Y: 0.5000 0.5000 0.5000  0.27
Tb: 0.2500 0.2500 0.2500  0.26
Tb: 0.7500 0.7500 0.7500  0.26
In: 0.0000 0.0000 0.0000  0.00



On energetic grounds, model w is preferred over the next structure by 43 meV/atom.



Model w:
A relaxed Tb3YIn crystal. Source: the Alexandria database, functional PBE.

Output
The value obtained for the spin magnetization is 0.00 μB/f.u. As for the density of states at the Fermi level: 1.140 states/eV per atom.

Lattice parameters (Å, degrees): 4.8283 4.8207 12.8907 90.00 79.21 90.00
Fractional coordinates of all 10 atoms:
Tb: 0.7720 0.2500 0.1043
Tb: 0.3738 0.2500 0.9008
Tb: 0.5741 0.2500 0.5001
Tb: 0.2746 0.7500 0.0992
Tb: 0.8763 0.7500 0.8957
Tb: 0.0742 0.7500 0.4999
Y: 0.4739 0.7500 0.7006
Y: 0.1745 0.2500 0.2994
In: 0.6715 0.7500 0.3054
In: 0.9769 0.2500 0.6946



Model x:
A relaxed Tb3YIn crystal. Source: the Alexandria database, functional PBE.

Output
The value obtained for the spin magnetization is 0.00 μB/f.u. As for the density of states at the Fermi level: 1.289 states/eV per atom.

Lattice parameters (Å, degrees): 6.2624 9.3370 11.2894 112.69 90.00 90.00
Fractional coordinates of all 20 atoms:
Tb: 0.4056 0.3377 0.3873
Tb: 0.5944 0.6623 0.6127
Tb: 0.9056 0.1623 0.1127
Tb: 0.0944 0.8377 0.8873
Tb: 0.4200 0.6645 0.2958
Tb: 0.5800 0.3355 0.7042
Tb: 0.9200 0.8355 0.2042
Tb: 0.0800 0.1645 0.7958
Tb: 0.7479 0.9531 0.5164
Tb: 0.2521 0.0469 0.4836
Tb: 0.2479 0.5469 0.9836
Tb: 0.7521 0.4531 0.0164
Y: 0.9235 0.5323 0.3418
Y: 0.0765 0.4677 0.6582
Y: 0.4235 0.9677 0.1582
Y: 0.5765 0.0323 0.8418
In: 0.3654 0.2849 0.0923
In: 0.6346 0.7151 0.9077
In: 0.8654 0.2151 0.4077
In: 0.1346 0.7849 0.5923



On energetic grounds, model w is preferred over the next structure by 90 meV/atom.



Model w:
A relaxed Tb3Y2In3 crystal. Source: the Alexandria database, functional PBE.

Output
The value obtained for the spin magnetization is 1.32 μB/f.u. As for the density of states at the Fermi level: 0.871 states/eV per atom.

Lattice parameters (Å, degrees): 4.9445 4.9262 9.1411 90.00 90.00 90.00
Site moments in Bohr magnetons follow the coordinates.
Fractional coordinates of all 8 atoms:
Tb: 0.5000 0.5000 0.7376  0.18
Tb: 0.5000 0.5000 0.2624  0.18
Tb: 0.5000 0.0000 0.0000  0.30
Y: 0.0000 0.0000 0.7343  0.14
Y: 0.0000 0.0000 0.2657  0.14
In: 0.5000 0.0000 0.5000  0.00
In: 0.0000 0.5000 0.0000  -0.02
In: 0.0000 0.5000 0.5000  -0.01



Model x:
A relaxed Tb3Y2In3 crystal. Source: the Alexandria database, functional PBE.

Output
The value obtained for the spin magnetization is 0.00 μB/f.u. As for the density of states at the Fermi level: 0.850 states/eV per atom.

Lattice parameters (Å, degrees): 3.7910 5.3534 11.6384 103.30 99.37 90.00
Fractional coordinates of all 8 atoms:
Tb: 0.3765 0.3765 0.7529
Tb: 0.6235 0.6235 0.2471
Tb: 0.5000 0.0000 0.0000
Y: 0.2657 0.7657 0.5315
Y: 0.7343 0.2343 0.4685
In: 0.8806 0.8806 0.7613
In: 0.0000 0.5000 0.0000
In: 0.1194 0.1194 0.2387



On energetic grounds, model x is preferred over the next structure by 6 meV/atom.